Record 1
## Sc2MnCr (PBE)

Data for Sc2MnCr after structural relaxation.

Summary:
As for the space group: Imm2 (44). For the formation enthalpy at 0 K, the calculation gives 83 meV per atom. The calculation puts the total DFT energy (no corrections) at -7.781 eV/atom. Its relative energy among the computed polymorphs is 8.9 meV/atom.

```
Sc2MnCr
1.0
-1.567 2.301 4.643
1.567 -2.301 4.643
1.567 2.301 -4.643
Sc Mn Cr
2 1 1
Cartesian
0.000 0.000 0.000
0.000 2.301 2.049
0.000 0.000 4.220
1.567 0.000 2.618
```

---

Record 2
## FeCuHg (PBE)

Data for FeCuHg after structural relaxation.

Summary:
As for the space group: P3m1 (156). For the formation enthalpy at 0 K, the calculation gives 437 meV per atom. The calculation puts the total DFT energy (no corrections) at -3.850 eV/atom. Its relative energy among the computed polymorphs is 97.1 meV/atom.

```
FeCuHg
1.0
4.357 0.000 0.000
-2.179 3.773 0.000
0.000 0.000 2.810
Fe Cu Hg
1 1 1
Cartesian
0.000 0.000 0.000
0.000 2.516 2.049
2.179 1.258 1.139
```

---

Record 3
## Ac2UTcN6 (PBE)

Data for Ac2UTcN6 after structural relaxation.

Summary:
As for the space group: P4/mmm (123). The calculation puts the total DFT energy (no corrections) at -8.876 eV/atom.

```
Ac2UTcN6
1.0
4.127 0.000 0.000
0.000 4.127 0.000
0.000 0.000 8.506
Ac U Tc N
2 1 1 6
Cartesian
0.000 0.000 1.924
0.000 0.000 6.582
2.064 2.064 4.253
2.064 2.064 0.000
0.000 2.064 0.000
0.000 2.064 4.253
2.064 0.000 0.000
2.064 0.000 4.253
2.064 2.064 2.037
2.064 2.064 6.469
```

---

Record 4
## Ac2LuIn (PBE)

Data for Ac2LuIn after structural relaxation.

Summary:
As for the space group: Fm-3m (225). For the formation enthalpy at 0 K, the calculation gives -95 meV per atom. The calculation puts the total DFT energy (no corrections) at -3.964 eV/atom. Its relative energy among the computed polymorphs is 47.8 meV/atom.

```
Ac2LuIn
1.0
0.000 4.130 4.130
4.130 0.000 4.130
4.130 4.130 0.000
Ac Lu In
2 1 1
Cartesian
2.065 2.065 2.065
6.196 6.196 6.196
0.000 0.000 0.000
4.130 4.130 4.130
```